1.
First-principles (GGA-PBE) data for a relaxed BaMn2CrSe8 crystal, as listed in the Alexandria database.

Cell: 6.2120 6.2120 8.8766 Å, 90.00 90.00 120.00°
Space group P-3 (No. 147)
Asymmetric unit:
Ba1 0.0000 0.0000 0.0000 (multiplicity 1)
Mn1 0.3333 0.6667 0.7501 (multiplicity 2)
Cr1 0.0000 0.0000 0.5000 (multiplicity 1)
Se1 0.0105 0.6752 0.3355 (multiplicity 6)
Se2 0.3333 0.6667 0.9995 (multiplicity 2)

formation energy without anion corrections = -0.497 eV per atom

=====

2.
First-principles (GGA-PBE) data for a relaxed Ba2MnCrTc crystal, as listed in the Alexandria database.

Cell: 6.075 6.075 4.290 Å, 90.00 90.00 90.00°
Space group P4/mmm (No. 123)
Asymmetric unit:
Ba1 0.000 0.500 0.000 (multiplicity 2)
Mn1 0.000 0.000 0.500 (multiplicity 1)
Cr1 0.500 0.500 0.000 (multiplicity 1)
Tc1 0.500 0.500 0.500 (multiplicity 1)

formation enthalpy at 0 K = 1642 meV per atom

=====

3.
First-principles (GGA-PBE) data for a relaxed BaMn2TlCr crystal, as listed in the Alexandria database.

Cell: 4.887 4.887 5.317 Å, 90.00 90.00 90.00°
Space group P4/mmm (No. 123)
Asymmetric unit:
Ba1 0.000 0.000 0.000 (multiplicity 1)
Mn1 0.000 0.500 0.500 (multiplicity 2)
Tl1 0.500 0.500 0.000 (multiplicity 1)
Cr1 0.500 0.500 0.500 (multiplicity 1)

formation enthalpy at 0 K = 590 meV per atom

=====

4.
First-principles (GGA-PBE) data for a relaxed Ba2MnCrW crystal, as listed in the Alexandria database.

Cell: 6.103 6.103 4.645 Å, 90.00 90.00 90.00°
Space group P4/mmm (No. 123)
Asymmetric unit:
Ba1 0.000 0.500 0.000 (multiplicity 2)
Mn1 0.000 0.000 0.500 (multiplicity 1)
Cr1 0.500 0.500 0.500 (multiplicity 1)
W1 0.000 0.000 0.000 (multiplicity 1)

formation enthalpy at 0 K = 1820 meV per atom

=====

5.
First-principles (GGA-PBE) data for a relaxed BaZrMn2Cr crystal, as listed in the Alexandria database.

Cell: 4.673 4.673 5.332 Å, 90.00 90.00 90.00°
Space group P4/mmm (No. 123)
Asymmetric unit:
Ba1 0.000 0.000 0.000 (multiplicity 1)
Zr1 0.500 0.500 0.000 (multiplicity 1)
Mn1 0.000 0.500 0.500 (multiplicity 2)
Cr1 0.000 0.000 0.500 (multiplicity 1)

formation enthalpy at 0 K = 1258 meV per atom

=====

6.
First-principles (GGA-PBE) data for a relaxed BaZr2MnCr crystal, as listed in the Alexandria database.

Cell: 5.137 5.137 4.361 Å, 90.00 90.00 90.00°
Space group P4/mmm (No. 123)
Asymmetric unit:
Ba1 0.000 0.000 0.000 (multiplicity 1)
Zr1 0.000 0.500 0.500 (multiplicity 2)
Mn1 0.500 0.500 0.000 (multiplicity 1)
Cr1 0.500 0.500 0.500 (multiplicity 1)

formation enthalpy at 0 K = 799 meV per atom

=====

7.
First-principles (GGA-PBE) data for a relaxed BaCrMo2 crystal, as listed in the Alexandria database.

Cell: 5.550 10.341 2.862 Å, 90.00 90.00 90.00°
Space group Cmmm (No. 65)
Asymmetric unit:
Ba1 0.000 0.000 0.000 (multiplicity 2)
Cr1 0.000 0.500 0.000 (multiplicity 2)
Mo1 0.250 0.250 0.500 (multiplicity 4)

formation enthalpy at 0 K = 1433 meV per atom
energy above the lowest structure with this stoichiometry = 2.69 eV/f.u.

=====

8.
First-principles (GGA-PBE) data for a relaxed BaCrMo2 crystal, as listed in the Alexandria database.

Cell: 3.329 4.846 9.712 Å, 90.00 90.00 90.00°
Space group Cmm2 (No. 35)
Asymmetric unit:
Ba1 0.000 0.000 0.000 (multiplicity 2)
Cr1 0.000 0.500 0.296 (multiplicity 2)
Mo1 0.000 0.000 0.481 (multiplicity 2)
Mo2 0.000 0.500 0.692 (multiplicity 2)

formation enthalpy at 0 K = 973 meV per atom
energy above the lowest structure with this stoichiometry = 0.85 eV/f.u.

=====

Please write out number 7 again, unchanged.
First-principles (GGA-PBE) data for a relaxed BaCrMo2 crystal, as listed in the Alexandria database.

Cell: 5.550 10.341 2.862 Å, 90.00 90.00 90.00°
Space group Cmmm (No. 65)
Asymmetric unit:
Ba1 0.000 0.000 0.000 (multiplicity 2)
Cr1 0.000 0.500 0.000 (multiplicity 2)
Mo1 0.250 0.250 0.500 (multiplicity 4)

formation enthalpy at 0 K = 1433 meV per atom
energy above the lowest structure with this stoichiometry = 2.69 eV/f.u.

=====

What did the sixth record say?
First-principles (GGA-PBE) data for a relaxed BaZr2MnCr crystal, as listed in the Alexandria database.

Cell: 5.137 5.137 4.361 Å, 90.00 90.00 90.00°
Space group P4/mmm (No. 123)
Asymmetric unit:
Ba1 0.000 0.000 0.000 (multiplicity 1)
Zr1 0.000 0.500 0.500 (multiplicity 2)
Mn1 0.500 0.500 0.000 (multiplicity 1)
Cr1 0.500 0.500 0.500 (multiplicity 1)

formation enthalpy at 0 K = 799 meV per atom

=====

Copy entry 7 word for word.
First-principles (GGA-PBE) data for a relaxed BaCrMo2 crystal, as listed in the Alexandria database.

Cell: 5.550 10.341 2.862 Å, 90.00 90.00 90.00°
Space group Cmmm (No. 65)
Asymmetric unit:
Ba1 0.000 0.000 0.000 (multiplicity 2)
Cr1 0.000 0.500 0.000 (multiplicity 2)
Mo1 0.250 0.250 0.500 (multiplicity 4)

formation enthalpy at 0 K = 1433 meV per atom
energy above the lowest structure with this stoichiometry = 2.69 eV/f.u.